VASP calculation (PBE) on crystalline NpNb2Ir at its relaxed geometry.

Values from the calculation:
The value obtained for the energy above the most stable polymorph in this dataset is 0.0 kJ per mole of atoms. For the formation energy, the calculation gives -0.042 eV per atom.

Lattice parameters (Å, degrees): 4.861 4.861 3.011 90.00 90.00 90.00
Space group P4/mmm (No. 123)
Asymmetric unit:
Np1 0.000 0.000 0.000 [1 per cell]
Nb1 0.000 0.500 0.500 [2 per cell]
Ir1 0.500 0.500 0.000 [1 per cell]